## NaCaZn2 (PBEsol)

Data for a geometry-optimized NaCaZn2 structure.

Magnetization: 0.000 μB per atom
Calculated total energy: -0.1214 Ry per atom

a = 7.133 Å, b = 7.133 Å, c = 7.133 Å
α = 90.00°, β = 90.00°, γ = 90.00°
Space group Fm-3m (No. 225)
Unique sites:
Na (0.000, 0.000, 0.000) x4
Ca (0.000, 0.000, 0.500) x4
Zn (0.250, 0.250, 0.250) x8